Density functional theory data (GGA-PBE) for AcLa2Au after structural relaxation.

The density of states at the Fermi level is 14.852 states/eV per cell. As for the energy above the most stable polymorph in this dataset: 0.1292 eV/atom. For the formation energy, the calculation gives -0.297 eV/atom. For the total DFT energy (no corrections), the calculation gives -4.607 eV/atom.

The space group is R3m (No. 160, hexagonal axes) and the conventional cell measures 4.0869, 4.0869 and 30.4110 Å, with angles of 90.00, 90.00 and 120.00 degrees. The inequivalent atoms are Ac at (0.0000, 0.0000, 0.0000), La at (0.0000, 0.0000, 0.2318), La at (0.0000, 0.0000, 0.4349) and Au at (0.0000, 0.0000, 0.8338).

---

Density functional theory data (GGA-PBE) for ZnCoRu2 after structural relaxation.

The density of states at the Fermi level is 9.230 states/eV per cell. For the formation energy, the calculation gives 0.126 eV/atom. For the total DFT energy (no corrections), the calculation gives -6.607 eV/atom.

The space group is R-3m (No. 166, hexagonal axes) and the conventional cell measures 2.6845, 2.6845 and 25.6045 Å, with angles of 90.00, 90.00 and 120.00 degrees. The inequivalent atoms are Zn at (0.0000, 0.0000, 0.0000), Co at (0.0000, 0.0000, 0.5000) and Ru at (0.0000, 0.0000, 0.2462).

---

Density functional theory data (GGA-PBE) for AgOsW2 after structural relaxation.

The density of states at the Fermi level is 17.153 states/eV per cell. As for the energy above the most stable polymorph in this dataset: 0.4194 eV/atom. For the formation energy, the calculation gives 0.781 eV/atom. For the total DFT energy (no corrections), the calculation gives -9.216 eV/atom.

The space group is Fm-3m (No. 225) and the conventional cell measures 6.3542, 6.3542 and 6.3542 Å, with angles of 90.00, 90.00 and 90.00 degrees. The inequivalent atoms are Ag at (0.0000, 0.0000, 0.0000), Os at (0.0000, 0.0000, 0.5000) and W at (0.2500, 0.2500, 0.2500).

---

Among the records above, which one has the highest total DFT energy (no corrections)?
AcLa2Au

---

Please write out number 1 again, unchanged.
Density functional theory data (GGA-PBE) for AcLa2Au after structural relaxation.

The density of states at the Fermi level is 14.852 states/eV per cell. As for the energy above the most stable polymorph in this dataset: 0.1292 eV/atom. For the formation energy, the calculation gives -0.297 eV/atom. For the total DFT energy (no corrections), the calculation gives -4.607 eV/atom.

The space group is R3m (No. 160, hexagonal axes) and the conventional cell measures 4.0869, 4.0869 and 30.4110 Å, with angles of 90.00, 90.00 and 120.00 degrees. The inequivalent atoms are Ac at (0.0000, 0.0000, 0.0000), La at (0.0000, 0.0000, 0.2318), La at (0.0000, 0.0000, 0.4349) and Au at (0.0000, 0.0000, 0.8338).

---

Which formula does entry 2 have?
ZnCoRu2